The following is a SCAN calculation of NaCd2Pt2 at its PBEsol-relaxed geometry, from Alexandria via LeMat-Bulk.

As for the crystal system: tetragonal. The calculation puts the total energy at -41.460 eV per atom. The total magnetic moment comes out at 0.00 μB/cell. For the formation energy, the calculation gives -0.37 eV per atom. The density of states at the Fermi level comes out at 0.89 states/eV/f.u.

Cell and atoms, written as POSCAR:
```
NaCd2Pt2
1.0
7.990 0.000 0.000
0.000 7.990 0.000
0.000 0.000 2.916
Na Cd Pt
2 4 4
direct
0.000 0.000 0.000 Na
0.500 0.500 0.000 Na
0.170 0.330 0.500 Cd
0.330 0.830 0.500 Cd
0.670 0.170 0.500 Cd
0.830 0.670 0.500 Cd
0.127 0.627 0.000 Pt
0.373 0.127 0.000 Pt
0.627 0.873 0.000 Pt
0.873 0.373 0.000 Pt
```

***

The following is a SCAN calculation of BaHfTlFe2 at its PBEsol-relaxed geometry, from Alexandria via LeMat-Bulk.

As for the crystal system: tetragonal. The calculation puts the total energy at -41.475 eV per atom. The total magnetic moment comes out at 4.87 μB/cell. For the formation energy, the calculation gives 0.69 eV per atom. The density of states at the Fermi level comes out at 5.85 states/eV/f.u.

Cell and atoms, written as POSCAR:
```
BaHfTlFe2
1.0
4.836 0.000 0.000
0.000 4.836 0.000
0.000 0.000 5.603
Ba Hf Tl Fe
1 1 1 2
direct
0.000 0.000 0.000 Ba
0.500 0.500 0.500 Hf
0.500 0.500 0.000 Tl
0.000 0.500 0.500 Fe
0.500 0.000 0.500 Fe
```

***

The following is a SCAN calculation of KSnAuS3 at its PBEsol-relaxed geometry, from Alexandria via LeMat-Bulk.

As for the crystal system: tetragonal. The calculation puts the total energy at -24.410 eV per atom. The total magnetic moment comes out at 0.00 μB/cell. The calculation puts the uncorrected formation energy at -0.695 eV/atom. The density of states at the Fermi level comes out at 0.00 states/eV/f.u.

Cell and atoms, written as POSCAR:
```
KSnAuS3
1.0
7.899 0.000 0.000
0.000 7.899 0.000
0.000 0.000 19.220
K Sn Au S
8 8 8 24
direct
0.000 0.000 0.000 K
0.000 0.000 0.192 K
0.000 0.000 0.500 K
0.000 0.000 0.692 K
0.500 0.500 0.043 K
0.500 0.500 0.334 K
0.500 0.500 0.543 K
0.500 0.500 0.834 K
0.000 0.500 0.011 Sn
0.000 0.500 0.188 Sn
0.000 0.500 0.511 Sn
0.000 0.500 0.688 Sn
0.500 0.000 0.011 Sn
0.500 0.000 0.188 Sn
0.500 0.000 0.511 Sn
0.500 0.000 0.688 Sn
0.007 0.309 0.349 Au
0.007 0.691 0.849 Au
0.309 0.007 0.849 Au
0.309 0.993 0.349 Au
0.691 0.007 0.349 Au
0.691 0.993 0.849 Au
0.993 0.309 0.849 Au
0.993 0.691 0.349 Au
0.154 0.334 0.099 S
0.154 0.666 0.599 S
0.178 0.316 0.756 S
0.178 0.684 0.256 S
0.188 0.323 0.444 S
0.188 0.677 0.944 S
0.316 0.178 0.256 S
0.316 0.822 0.756 S
0.323 0.188 0.944 S
0.323 0.812 0.444 S
0.334 0.154 0.599 S
0.334 0.846 0.099 S
0.666 0.154 0.099 S
0.666 0.846 0.599 S
0.677 0.188 0.444 S
0.677 0.812 0.944 S
0.684 0.178 0.756 S
0.684 0.822 0.256 S
0.812 0.323 0.944 S
0.812 0.677 0.444 S
0.822 0.316 0.256 S
0.822 0.684 0.756 S
0.846 0.334 0.599 S
0.846 0.666 0.099 S
```

***

The following is a SCAN calculation of ScAl2Os at its PBEsol-relaxed geometry, from Alexandria via LeMat-Bulk.

As for the crystal system: monoclinic. The calculation puts the total energy at -25.822 eV per atom. The total magnetic moment comes out at 0.00 μB/cell. For the formation energy, the calculation gives -0.42 eV per atom. The density of states at the Fermi level comes out at 3.26 states/eV/f.u.

Cell and atoms, written as POSCAR:
```
ScAl2Os
1.0
2.916 0.000 0.000
0.000 4.270 0.000
-1.282 0.000 5.147
Sc Al Os
1 2 1
direct
0.000 0.000 0.000 Sc
0.337 0.500 0.727 Al
0.663 0.500 0.273 Al
0.500 0.000 0.500 Os
```

***

The following is a SCAN calculation of YMn3Tc at its PBEsol-relaxed geometry, from Alexandria via LeMat-Bulk.

As for the crystal system: cubic. The calculation puts the total energy at -23.057 eV per atom. The total magnetic moment comes out at 9.49 μB/cell. For the formation energy, the calculation gives 0.48 eV per atom. The density of states at the Fermi level comes out at 4.88 states/eV/f.u.

Cell and atoms, written as POSCAR:
```
YMn3Tc
1.0
4.502 0.000 0.000
0.000 4.502 0.000
0.000 0.000 4.502
Y Mn Tc
1 3 1
direct
0.000 0.000 0.000 Y
0.000 0.500 0.500 Mn
0.500 0.000 0.500 Mn
0.500 0.500 0.000 Mn
0.500 0.500 0.500 Tc
```

***

The following is a SCAN calculation of LiGe2Mo2 at its PBEsol-relaxed geometry, from Alexandria via LeMat-Bulk.

As for the crystal system: tetragonal. The calculation puts the total energy at -21.857 eV per atom. The total magnetic moment comes out at 0.00 μB/cell. For the formation energy, the calculation gives 0.21 eV per atom. The density of states at the Fermi level comes out at 1.81 states/eV/f.u.

Cell and atoms, written as POSCAR:
```
LiGe2Mo2
1.0
-2.381 2.381 3.945
2.381 -2.381 3.945
2.381 2.381 -3.945
Li Ge Mo
1 2 2
direct
0.000 0.000 0.000 Li
0.250 0.750 0.500 Ge
0.750 0.250 0.500 Ge
0.356 0.356 0.000 Mo
0.644 0.644 0.000 Mo
```

***

The following is a SCAN calculation of La2YTc at its PBEsol-relaxed geometry, from Alexandria via LeMat-Bulk.

As for the crystal system: tetragonal. The calculation puts the total energy at -37.109 eV per atom. The total magnetic moment comes out at 0.00 μB/cell. For the formation energy, the calculation gives 0.17 eV per atom. The density of states at the Fermi level comes out at 5.01 states/eV/f.u.

Cell and atoms, written as POSCAR:
```
La2YTc
1.0
3.514 0.000 0.000
0.000 3.514 0.000
0.000 0.000 8.665
La Y Tc
2 1 1
direct
0.000 0.000 0.200 La
0.000 0.000 0.800 La
0.500 0.500 0.500 Y
0.500 0.500 0.000 Tc
```

***

The following is a SCAN calculation of SrLi3Y at its PBEsol-relaxed geometry, from Alexandria via LeMat-Bulk.

As for the crystal system: cubic. The calculation puts the total energy at -10.790 eV per atom. The total magnetic moment comes out at 1.65 μB/cell. For the formation energy, the calculation gives 0.67 eV per atom. The density of states at the Fermi level comes out at 6.46 states/eV/f.u.

Cell and atoms, written as POSCAR:
```
SrLi3Y
1.0
5.582 0.000 0.000
0.000 5.582 0.000
0.000 0.000 5.582
Sr Li Y
1 3 1
direct
0.000 0.000 0.000 Sr
0.000 0.500 0.500 Li
0.500 0.000 0.500 Li
0.500 0.500 0.000 Li
0.500 0.500 0.500 Y
```

***

Copy entry 6 word for word.
The following is a SCAN calculation of LiGe2Mo2 at its PBEsol-relaxed geometry, from Alexandria via LeMat-Bulk.

As for the crystal system: tetragonal. The calculation puts the total energy at -21.857 eV per atom. The total magnetic moment comes out at 0.00 μB/cell. For the formation energy, the calculation gives 0.21 eV per atom. The density of states at the Fermi level comes out at 1.81 states/eV/f.u.

Cell and atoms, written as POSCAR:
```
LiGe2Mo2
1.0
-2.381 2.381 3.945
2.381 -2.381 3.945
2.381 2.381 -3.945
Li Ge Mo
1 2 2
direct
0.000 0.000 0.000 Li
0.250 0.750 0.500 Ge
0.750 0.250 0.500 Ge
0.356 0.356 0.000 Mo
0.644 0.644 0.000 Mo
```

***

Question: Among the records above, which one has the highest total energy?
Answer: SrLi3Y

***

Question: What is the total magnetic moment in the fourth record?
Answer: 0.00 μB/cell